Record 1
24
Lattice="4.816 0.000 0.000 0.000 4.651 0.000 -4.611 0.000 10.483" Properties=species:S:1:pos:R:3 comment="GGA-PBEsol VBO4, relaxed" e_tot_ev_per_atom=-8.57 spacegroup="P2_1/c, No. 14" n_ef_per_ev_cell=0.00 formation_energy_uncorrected_mev_per_atom=-2293 pbc="T T T"
V 0.602 1.158 0.801
V -1.703 1.167 6.043
V 1.908 3.484 4.440
V -0.398 3.493 9.682
B -0.727 2.468 3.269
B -3.032 4.509 8.510
B 3.237 0.142 1.972
B 0.931 2.183 7.214
O -3.059 0.908 7.465
O -0.754 1.417 2.223
O -3.743 0.310 9.681
O -1.438 2.015 4.439
O 1.112 2.665 0.495
O -1.193 4.312 5.736
O 0.656 2.805 3.503
O -1.649 4.171 8.744
O 1.854 0.480 1.738
O -0.451 1.846 6.980
O 1.398 0.339 4.746
O -0.907 1.986 9.988
O 1.643 2.636 6.043
O 3.948 4.341 0.802
O 0.959 3.234 8.259
O 3.264 3.743 3.018

Record 2
5
Lattice="4.643 0.000 0.000 0.000 4.643 0.000 0.000 0.000 4.643" Properties=species:S:1:pos:R:3 comment="GGA-PBEsol MgPdS3, relaxed" e_tot_ev_per_atom=-4.13 spacegroup="Pm-3m, No. 221" n_ef_per_ev_cell=4.83 formation_energy_uncorrected_mev_per_atom=40 pbc="T T T"
Mg 0.000 0.000 0.000
Pd 2.321 2.321 2.321
S 0.000 2.321 2.321
S 2.321 0.000 2.321
S 2.321 2.321 0.000

Record 3
16
Lattice="7.466 0.000 0.000 0.000 7.466 0.000 0.000 0.000 7.466" Properties=species:S:1:pos:R:3 comment="GGA-PBEsol BaTlAg2, relaxed" e_tot_ev_per_atom=-2.93 spacegroup="Fm-3m, No. 225" polymorph_energy_mev_per_atom=106.3 ef_ev_per_atom=-0.075 n_ef_per_ev_cell=14.49 pbc="T T T"
Ba 0.000 0.000 0.000
Ba 0.000 3.733 3.733
Ba 3.733 0.000 3.733
Ba 3.733 3.733 0.000
Tl 0.000 0.000 3.733
Tl 0.000 3.733 0.000
Tl 3.733 0.000 0.000
Tl 3.733 3.733 3.733
Ag 1.866 1.866 1.866
Ag 1.866 1.866 5.599
Ag 1.866 5.599 1.866
Ag 1.866 5.599 5.599
Ag 5.599 1.866 1.866
Ag 5.599 1.866 5.599
Ag 5.599 5.599 1.866
Ag 5.599 5.599 5.599

Record 4
19
Lattice="-1.905 1.905 16.341 1.905 -1.905 16.341 1.905 1.905 -16.341" Properties=species:S:1:pos:R:3 comment="GGA-PBEsol La2Ti3Bi2O12, relaxed" e_tot_ev_per_atom=-8.42 spacegroup="I4/mmm, No. 139" n_ef_per_ev_cell=0.00 formation_energy_uncorrected_mev_per_atom=-2781 pbc="T T T"
La 0.000 0.000 2.144
La 0.000 0.000 30.539
Ti 0.000 0.000 12.133
Ti 0.000 0.000 16.341
Ti 0.000 0.000 20.550
Bi 0.000 0.000 6.901
Bi 0.000 0.000 25.782
O 1.905 0.000 0.000
O 1.905 0.000 3.782
O 1.905 0.000 8.171
O 0.000 0.000 10.355
O 1.905 0.000 12.559
O 0.000 0.000 14.411
O 0.000 1.905 0.000
O 0.000 0.000 18.272
O 0.000 1.905 3.782
O 0.000 0.000 22.328
O 0.000 1.905 8.171
O 0.000 1.905 12.559

Record 5
5
Lattice="3.927 0.000 0.000 0.000 3.927 0.000 0.000 0.000 3.927" Properties=species:S:1:pos:R:3 comment="GGA-PBEsol Tc3HO, relaxed" e_tot_ev_per_atom=-7.71 spacegroup="Pm-3m, No. 221" n_ef_per_ev_cell=5.79 pbc="T T T"
Tc 0.000 0.000 1.963
Tc 0.000 1.963 0.000
Tc 1.963 0.000 0.000
H 1.963 1.963 1.963
O 0.000 0.000 0.000

Record 6
14
Lattice="5.685 0.000 0.000 0.000 9.780 0.000 0.000 0.000 3.244" Properties=species:S:1:pos:R:3 comment="GGA-PBEsol Ca2HfO4, relaxed" e_tot_ev_per_atom=-8.43 spacegroup="Pbam, No. 55" n_ef_per_ev_cell=0.00 formation_energy_uncorrected_mev_per_atom=-3323 pbc="T T T"
Ca 0.381 1.765 0.000
Ca 2.461 6.655 0.000
Ca 3.224 3.125 0.000
Ca 5.304 8.015 0.000
Hf 0.000 4.890 1.622
Hf 2.843 0.000 1.622
O 0.785 6.786 1.622
O 1.292 4.456 0.000
O 1.551 9.346 0.000
O 2.058 1.896 1.622
O 3.628 7.884 1.622
O 4.134 0.434 0.000
O 4.394 5.325 0.000
O 4.901 2.994 1.622

Record 7
10
Lattice="7.743 0.000 0.000 0.000 7.743 0.000 0.000 0.000 3.186" Properties=species:S:1:pos:R:3 comment="GGA-PBEsol SrCd2Rh2, relaxed" e_tot_ev_per_atom=-4.23 spacegroup="P4/mbm, No. 127" polymorph_energy_mev_per_atom=0.0 ef_ev_per_atom=-0.124 n_ef_per_ev_cell=7.03 pbc="T T T"
Sr 0.000 0.000 0.000
Sr 3.871 3.871 0.000
Cd 1.212 2.660 1.593
Cd 2.660 6.531 1.593
Cd 5.083 1.212 1.593
Cd 6.531 5.083 1.593
Rh 1.052 4.923 0.000
Rh 2.820 1.052 0.000
Rh 4.923 6.691 0.000
Rh 6.691 2.820 0.000

Record 8
3
Lattice="3.624 0.000 0.000 0.000 3.624 0.000 0.000 0.000 5.204" Properties=species:S:1:pos:R:3 comment="GGA-PBEsol Si2Se, relaxed" e_tot_ev_per_atom=-4.28 spacegroup="P4/mmm, No. 123" polymorph_energy_mev_per_atom=0.0 n_ef_per_ev_cell=2.04 formation_energy_uncorrected_mev_per_atom=836 pbc="T T T"
Si 0.000 0.000 0.000
Si 1.812 1.812 2.602
Se 0.000 0.000 2.602

- Number 1 is which compound?
  VBO4